Record 1
Below is crystalline SrGa at its relaxed geometry, with properties calculated at the GGA-PBE level.

**Calculated formation energy**: -0.30 eV/atom
**Total DFT energy (no corrections)**: -2.65 eV per atom

Cell: 11.7007 11.7007 4.3567 Å, 90.00 90.00 90.00°
With the nearest neighbours (Å) after each atom.
Space group I4/mmm (No. 139)
Symmetry-distinct sites (fractional):
Sr1 0.0000 0.2559 0.0000 [8 per cell]  6 Ga 3.33-3.41
Ga1 0.2104 0.2104 0.5000 [8 per cell]  2 Ga 2.54

Record 2
Below is crystalline LaInAs at its relaxed geometry, with properties calculated at the GGA-PBE level.

**Calculated formation energy**: -0.58 eV/atom
**Total DFT energy (no corrections)**: -4.69 eV per atom

Cell: 4.7454 5.9442 11.5635 Å, 90.00 90.00 90.00°
With the nearest neighbours (Å) after each atom.
Space group Fmm2 (No. 42)
Symmetry-distinct sites (fractional):
La1 0.0000 0.0000 0.0000 [4 per cell]  2 As 2.97
In1 0.0000 0.0000 0.2977 [4 per cell]  2 As 2.90
As1 0.0000 0.0000 0.6543 [4 per cell]  2 In 2.90, 2 La 2.97